A plane-wave DFT calculation with PBE-GGA was carried out for PaNi12B6 after structural relaxation.

Lattice parameters (Å, degrees): 6.006 6.006 6.006 104.52 104.52 104.52
Fractional coordinates of all 19 atoms:
Pa (0.000, 0.000, 0.000)
Ni (0.130, 0.500, 0.870)
Ni (0.130, 0.870, 0.500)
Ni (0.185, 0.450, 0.450)
Ni (0.450, 0.185, 0.450)
Ni (0.450, 0.450, 0.185)
Ni (0.500, 0.130, 0.870)
Ni (0.500, 0.870, 0.130)
Ni (0.550, 0.550, 0.815)
Ni (0.550, 0.815, 0.550)
Ni (0.815, 0.550, 0.550)
Ni (0.870, 0.130, 0.500)
Ni (0.870, 0.500, 0.130)
B (0.234, 0.234, 0.674)
B (0.234, 0.674, 0.234)
B (0.326, 0.766, 0.766)
B (0.674, 0.234, 0.234)
B (0.766, 0.326, 0.766)
B (0.766, 0.766, 0.326)

Output
uncorrected energy	-6.617	eV per atom
mass density	8682	kg/m³